(w)
TaRe2Au, optimized geometry, DFT PBE; space-group type = Cmmm
1.0
2.7558 -0.0123 0.0000
-0.9021 2.6040 0.0000
0.0000 0.0000 9.2038
Au Re Ta
1 2 1
Direct
0.5000 0.5000 0.7500
0.0000 0.0000 0.4885
0.0000 0.0000 0.0115
0.5000 0.5000 0.2500



(x)
TaRe2Au, optimized geometry, DFT PBE; space-group type = I-42d
1.0
3.8977 0.0000 0.0000
0.0000 3.8977 0.0000
1.9488 1.9488 9.6373
Au Ta Re
2 2 4
Direct
0.0000 0.0000 0.0000
0.7500 0.2500 0.5000
0.5000 0.5000 0.0000
0.2500 0.7500 0.5000
0.1796 0.6250 0.2500
0.8750 0.8204 0.7500
0.5704 0.1250 0.2500
0.3750 0.4296 0.7500



Which structure is the least stable? The one labeled (x).



(w)
ZrTaSi2, optimized geometry, DFT PBE; space-group type = Fm-3m
1.0
0.0000 3.2301 3.2301
3.2301 0.0000 3.2301
3.2301 3.2301 0.0000
Ta Si Zr
1 2 1
Direct
0.5000 0.5000 0.5000
0.7500 0.7500 0.7500
0.2500 0.2500 0.2500
0.0000 0.0000 0.0000



(x)
ZrTaSi2, optimized geometry, DFT PBE; space-group type = R-3m
1.0
-4.4332 6.6809 -4.1378
-6.1169 4.3547 -5.0028
-6.6175 5.6644 -2.3518
Si Zr Ta
2 1 1
Direct
0.0040 0.0040 0.0040
0.4960 0.4960 0.4960
0.2500 0.2500 0.2500
0.7500 0.7500 0.7500



Which structure is the least stable? The one labeled (x).



(w)
BC5, optimized geometry, DFT PBE; space-group type = P-4m2
1.0
-2.1747 -0.7127 -1.0559
1.1918 -1.8762 -1.1882
-2.0318 -6.8836 8.8310
C B
10 2
Direct
0.0000 0.5000 0.7500
0.5000 0.0000 0.5631
0.5000 0.0000 0.2500
0.0000 0.0000 0.3288
0.0000 0.0000 0.0125
0.5000 0.5000 0.4875
0.0000 0.5000 0.0933
0.5000 0.5000 0.1712
0.5000 0.0000 0.9369
0.0000 0.5000 0.4067
0.5000 0.5000 0.8405
0.0000 0.0000 0.6595



(x)
BC5, optimized geometry, DFT PBE; space-group type = P2/m
1.0
2.5895 0.0000 0.0000
0.0000 4.5039 -0.0667
0.0000 -0.0934 6.2849
C B
10 2
Direct
0.0000 0.0043 0.9998
0.5000 0.8330 0.5800
0.0000 0.3298 0.5891
0.5000 0.1670 0.6700
0.5000 0.1637 0.9241
0.0000 0.9957 0.2502
0.0000 0.6838 0.9135
0.0000 0.3162 0.3365
0.5000 0.8363 0.3259
0.0000 0.6702 0.6609
0.5000 0.5118 0.9579
0.5000 0.4882 0.2921



Which structure is the least stable? The one labeled (x).